Here is an optimized crystal structure of AsW4Br from the Alexandria database. Energies are from PBE.

Summary:
formation energy (no corrections)	28.675	kcal/mol of atoms
E_tot	-8.446	eV/atom
total magnetic moment	0.00	μB per formula unit
DOS at the Fermi energy	23.1	states/eV/cell

Cell and atoms, written as CIF:
```
data_AsW4Br
_chemical_formula_sum 'As4 W16 Br4'
_cell_length_a 7.6361
_cell_length_b 7.6361
_cell_length_c 7.6361
_cell_angle_alpha 90.00
_cell_angle_beta 90.00
_cell_angle_gamma 90.00
_symmetry_space_group_name_H-M 'F -4 3 m'
_symmetry_Int_Tables_number 216
_symmetry_space_group_name_Hall 'F -4 2 3'
loop_
_atom_site_label
_atom_site_type_symbol
_atom_site_fract_x
_atom_site_fract_y
_atom_site_fract_z
_atom_site_occupancy
As1 As 0.0000 0.0000 0.0000 1
W1 W 0.1239 0.1239 0.3761 1
Br1 Br 0.2500 0.2500 0.7500 1
```

***

Here is an optimized crystal structure of Pr6Pt2AuI3 from the Alexandria database. Energies are from PBE.

Summary:
formation energy (no corrections)	-23.568	kcal/mol of atoms
E_tot	-5.079	eV/atom
total magnetic moment	0.00	μB per formula unit
DOS at the Fermi energy	20.4	states/eV/cell

Cell and atoms, written as CIF:
```
data_Pr6Pt2AuI3
_chemical_formula_sum 'Pr12 Pt4 Au2 I6'
_cell_length_a 7.5142
_cell_length_b 13.0061
_cell_length_c 8.5031
_cell_angle_alpha 90.00
_cell_angle_beta 107.14
_cell_angle_gamma 90.00
_symmetry_space_group_name_H-M 'C 1 2/m 1'
_symmetry_Int_Tables_number 12
loop_
_symmetry_equiv_pos_as_xyz
'x,y,z'
'-x,-y,-z'
'-x,y,-z'
'x,-y,z'
'x+1/2,y+1/2,z'
'-x+1/2,-y+1/2,-z'
'-x+1/2,y+1/2,-z'
'x+1/2,-y+1/2,z'
loop_
_atom_site_label
_atom_site_type_symbol
_atom_site_fract_x
_atom_site_fract_y
_atom_site_fract_z
_atom_site_occupancy
Pr1 Pr 0.2186 0.0000 0.1910 1
Pr2 Pr 0.2365 0.3274 0.1917 1
Pt1 Pt 0.0000 0.1668 0.0000 1
Au1 Au 0.0000 0.5000 0.0000 1
I1 I 0.0000 0.0000 0.5000 1
I2 I 0.0000 0.3351 0.5000 1
```

***

Here is an optimized crystal structure of CrFeNi3 from the Alexandria database. Energies are from PBE.

Summary:
formation energy from the elements	11	kJ/mol of formula units
E_tot	-7.064	eV/atom
total magnetic moment	3.84	μB per formula unit
energy above the most stable polymorph in this dataset	0	meV/atom
DOS at the Fermi energy	23.5	states/eV/cell

Cell and atoms, written as CIF:
```
data_CrFeNi3
_chemical_formula_sum 'Cr4 Fe4 Ni12'
_cell_length_a 7.9360
_cell_length_b 3.4954
_cell_length_c 8.0496
_cell_angle_alpha 90.00
_cell_angle_beta 91.02
_cell_angle_gamma 90.00
_symmetry_space_group_name_H-M 'C 1 2/m 1'
_symmetry_Int_Tables_number 12
loop_
_symmetry_equiv_pos_as_xyz
'x,y,z'
'-x,-y,-z'
'-x,y,-z'
'x,-y,z'
'x+1/2,y+1/2,z'
'-x+1/2,-y+1/2,-z'
'-x+1/2,y+1/2,-z'
'x+1/2,-y+1/2,z'
loop_
_atom_site_label
_atom_site_type_symbol
_atom_site_fract_x
_atom_site_fract_y
_atom_site_fract_z
_atom_site_occupancy
Cr1 Cr 0.1590 0.0000 0.4472 1
Fe1 Fe 0.1492 0.5000 0.9456 1
Ni1 Ni 0.0477 0.5000 0.6481 1
Ni2 Ni 0.0528 0.0000 0.1497 1
Ni3 Ni 0.2490 0.0000 0.7497 1
```